LaPrPdRh: optimized geometry, GGA-PBE.

Values from the calculation:
- SG: Amm2, No. 38
- ΔE_f: -769 meV/atom
- Crystal system: orthorhombic

```
data_LaPrPdRh
_space_group_name_H-M_alt 'P 1'
_space_group_IT_number 1
_space_group_name_Hall 'P 1'
_cell_length_a 4.400
_cell_length_b 3.992
_cell_length_c 11.179
_cell_angle_alpha 90.00
_cell_angle_beta 90.00
_cell_angle_gamma 90.00
loop_
_atom_site_label
_atom_site_fract_x
_atom_site_fract_y
_atom_site_fract_z
La1 0.000 0.000 0.000
La2 0.000 0.500 0.500
Pr1 0.500 0.000 0.275
Pr2 0.500 0.500 0.775
Pd1 0.000 0.000 0.719
Pd2 0.000 0.500 0.219
Rh1 0.500 0.000 0.542
Rh2 0.500 0.500 0.042
```